Entry from Alexandria: a relaxed structure of K16Na12Pb (PBE).

Cell and atoms, written as POSCAR:
```
K16Na12Pb
1.0
-4.472 -10.617 -4.785
1.429 -1.616 12.286
-8.318 9.324 -2.041
K Na Pb
16 12 1
Direct
0.399 0.399 0.314
0.999 0.999 0.005
0.983 0.983 0.638
0.290 0.290 0.693
0.649 0.437 0.036
0.587 0.297 0.599
0.001 0.682 0.411
0.989 0.634 0.003
0.711 0.330 0.309
0.405 0.993 0.678
0.993 0.405 0.678
0.330 0.711 0.309
0.634 0.989 0.003
0.682 0.001 0.411
0.297 0.587 0.599
0.437 0.649 0.036
0.827 0.827 0.223
0.656 0.656 0.836
0.330 0.145 0.965
0.813 0.643 0.619
0.186 0.998 0.348
0.364 0.996 0.173
0.182 0.798 0.826
0.798 0.182 0.826
0.996 0.364 0.173
0.998 0.186 0.348
0.643 0.813 0.619
0.145 0.330 0.965
0.677 0.677 0.358
```

## Properties
* V: 1552.15 Å³/f.u.
* spin magnetization: 0.00 μB per cell
* ΔE_f: 0.11 eV per formula unit
* symmetry: Cm (8)



Entry from Alexandria: a relaxed structure of Hf8TcN2 (PBE).

Cell and atoms, written as POSCAR:
```
Hf8TcN2
1.0
-1.954 3.099 4.366
-6.853 -0.688 -0.948
-4.125 -4.663 3.095
Hf Tc N
8 1 2
Direct
0.277 0.348 0.847
0.723 0.153 0.652
0.277 0.812 0.812
0.723 0.188 0.188
0.277 0.847 0.348
0.723 0.652 0.153
0.795 0.636 0.636
0.205 0.364 0.364
0.000 0.000 0.000
0.648 0.803 0.803
0.352 0.197 0.197
```

## Properties
* V: 217.77 Å³/f.u.
* spin magnetization: 0.00 μB per cell
* formation energy from raw total energies: -0.3960 eV per atom
* symmetry: C2/m (12)



Entry from Alexandria: a relaxed structure of SrNdTlAu (PBE).

Cell and atoms, written as POSCAR:
```
SrNdTlAu
1.0
5.487 0.000 0.000
2.743 4.752 0.000
2.743 1.584 4.480
Nd Tl Au Sr
1 1 1 1
Direct
0.750 0.750 0.750
0.500 0.500 0.500
0.000 0.000 0.000
0.250 0.250 0.250
```

## Properties
* V: 116.81 Å³/f.u.
* spin magnetization: 0.00 μB per cell
* ΔE_f: -2.04 eV per formula unit
* symmetry: F-43m (216)